The following is a DFT calculation (GGA-PBE) of a geometry-optimized Al2PtSe structure.

POSCAR file:
```
Al2PtSe
1.0
2.818 -3.648 0.000
2.818 3.648 0.000
0.000 0.000 3.196
Al Pt Se
2 1 1
Direct
0.000 0.500 0.000
0.500 0.000 0.000
0.000 0.000 0.500
0.500 0.500 0.500
```

Calculated values
For the raw total energy, the calculation gives -4.535 eV/atom. The density of states at the Fermi level is 0.320 states/eV per atom. The uncorrected formation energy comes out at -0.28 eV/atom.